1.
# Li2TbCr2N4

An optimized crystal structure of Li2TbCr2N4 (PBE, Alexandria via LeMat-Bulk).

Results
Crystal system = monoclinic
N(E_F) = 3.48 states/eV/f.u.
Formation energy (no corrections) = -722 meV per atom
E_tot = -7.500 eV per atom
M_tot = 0.00 μB per cell

Cell: 10.324 3.253 8.043 Å, 90.00 123.15 90.00°
Space group C2/m (No. 12)
Inequivalent atoms, fractional coordinates:
Li 0.135 0.000 0.239 [4 per cell]
Tb 0.000 0.000 0.500 [2 per cell]
Cr 0.158 0.500 0.877 [4 per cell]
N 0.039 0.500 0.315 [4 per cell]
N 0.235 0.000 0.837 [4 per cell]

2.
# LiTh2Cr2N6

An optimized crystal structure of LiTh2Cr2N6 (PBE, Alexandria via LeMat-Bulk).

Results
Crystal system = trigonal
N(E_F) = 3.89 states/eV/f.u.
Formation energy (no corrections) = -680 meV per atom
E_tot = -8.494 eV per atom
M_tot = 0.01 μB per cell

Cell: 5.3603 5.3603 18.0782 Å, 90.00 90.00 120.00°
Space group R-3m (No. 166, hexagonal axes)
Inequivalent atoms, fractional coordinates:
Li 0.0000 0.0000 0.0000 [3 per cell]
Th 0.0000 0.0000 0.2129 [6 per cell]
Cr 0.0000 0.0000 0.3989 [6 per cell]
N 0.0065 0.5032 0.7662 [18 per cell]